(1)
Material: Cs3Hg2Au2
Method: DFT, PBE
State: optimized geometry

Cell: 5.052 5.235 22.652 Å, 90.00 90.00 90.00°
Space group Immm (No. 71)
Inequivalent atoms, fractional coordinates:
Cs  0.000  0.000  0.000 (multiplicity 2)
Cs  0.000  0.500  0.321 (multiplicity 4)
Hg  0.000  0.500  0.136 (multiplicity 4)
Au  0.000  0.000  0.437 (multiplicity 4)

Excess energy over the best structure of this formula in the dataset   0.0078 eV/atom
Crystal system   orthorhombic
Final energy   -23.43 eV for the cell shown
ΔH_f (0 K)   -285 meV per atom


(2)
Material: Cs2HgAu2
Method: DFT, PBE
State: optimized geometry

Cell: 12.512 6.698 9.692 Å, 90.00 108.59 90.00°
Space group C2/c (No. 15)
Inequivalent atoms, fractional coordinates:
Cs  0.146  0.147  0.140 (multiplicity 8)
Hg  0.000  0.358  0.750 (multiplicity 4)
Au  0.146  0.360  0.477 (multiplicity 8)

Excess energy over the best structure of this formula in the dataset   0.0000 eV/atom
Crystal system   monoclinic
Final energy   -39.96 eV for the cell shown
ΔH_f (0 K)   -285 meV per atom


(3)
Material: Cs3Hg4Au
Method: DFT, PBE
State: optimized geometry

Cell: 5.659 9.671 14.336 Å, 90.00 90.00 90.00°
Space group Immm (No. 71)
Inequivalent atoms, fractional coordinates:
Cs  0.000  0.000  0.000 (multiplicity 2)
Cs  0.000  0.500  0.170 (multiplicity 4)
Hg  0.000  0.266  0.392 (multiplicity 8)
Au  0.000  0.000  0.500 (multiplicity 2)

Crystal system   orthorhombic
Final energy   -18.05 eV for the cell shown
ΔH_f (0 K)   -248 meV per atom